1.
Computed, not measured: an optimized crystal structure of Tm4CdAg at the PBE-GGA level of DFT.

## Properties
crystal system = tetragonal
magnetization = 0.000 μB/f.u.
V = 29.6 A^3/atom
space-group type = No. 123
energy above the lowest structure with this stoichiometry = 1.45 eV per formula unit

Cell lengths 4.992, 4.992, 7.135 Å; angles 89.98, 89.99, 90.00 degrees
Fractional coordinates of all 6 atoms:
1 Cd 0.501 0.497 0.998
2 Tm 0.501 0.998 0.742
3 Ag 0.001 0.997 0.498
4 Tm 0.001 0.497 0.742
5 Tm 0.501 0.997 0.254
6 Tm 0.001 0.497 0.254



2.
Computed, not measured: an optimized crystal structure of Pr5Cd2In2 at the PBE-GGA level of DFT.

## Properties
crystal system = orthorhombic
magnetization = 0.000 μB/f.u.
V = 31.5 A^3/atom
space-group type = No. 46
uncorrected energy = -3.709 eV/atom

Cell lengths 9.642, 6.541, 10.716 Å; angles 107.77, 116.74, 90.00 degrees
Fractional coordinates of all 18 atoms:
1 Pr 0.514 0.655 0.304
2 Cd 0.910 0.732 0.500
3 In 0.855 0.426 0.857
4 Pr 0.254 0.760 0.500
5 In 0.145 0.569 0.143
6 Pr 0.205 0.642 0.838
7 Pr 0.486 0.351 0.696
8 Pr 0.133 0.142 0.838
9 Pr 0.746 0.260 0.500
10 Pr 0.867 0.304 0.162
11 Cd 0.000 0.896 0.000
12 In 0.498 0.069 0.143
13 Pr 0.290 0.155 0.304
14 In 0.502 0.926 0.857
15 Cd 0.090 0.232 0.500
16 Cd 0.500 0.396 0.000
17 Pr 0.710 0.851 0.696
18 Pr 0.795 0.804 0.162



3.
Computed, not measured: an optimized crystal structure of NaGaBiO4 at the PBE-GGA level of DFT.

## Properties
crystal system = orthorhombic
magnetization = 0.000 μB/f.u.
V = 13.5 A^3/atom
space-group type = No. 74
formation energy (no corrections) = -1.37 eV per atom

Cell lengths 6.205, 6.415, 6.415 Å; angles 64.80, 61.08, 61.08 degrees
Fractional coordinates of all 14 atoms:
1 Ga 0.643 0.607 0.107
2 Ga 0.357 0.393 0.893
3 O 0.761 0.739 0.239
4 Na 0.500 0.000 0.500
5 O 0.740 0.261 0.761
6 O 0.239 0.261 0.761
7 Bi 0.000 0.000 0.000
8 O 0.260 0.739 0.239
9 Na 0.000 0.000 0.500
10 O 0.749 0.265 0.237
11 Bi 0.000 0.500 0.500
12 O 0.251 0.735 0.763
13 O 0.749 0.737 0.765
14 O 0.251 0.263 0.235



4.
Computed, not measured: an optimized crystal structure of PmScSe2 at the PBE-GGA level of DFT.

## Properties
crystal system = trigonal
magnetization = 0.000 μB/f.u.
V = 31.8 A^3/atom
space-group type = No. 166
energy above the lowest structure with this stoichiometry = 1.99 eV per formula unit
formation energy (no corrections) = -1.22 eV per atom

Cell lengths 4.151, 4.151, 8.858 Å; angles 76.45, 76.45, 60.00 degrees
Fractional coordinates of all 4 atoms:
1 Se 0.899 0.899 0.304
2 Sc 0.000 0.000 0.000
3 Se 0.101 0.101 0.696
4 Pm 0.500 0.500 0.500



5.
Computed, not measured: an optimized crystal structure of Hf5As2H at the PBE-GGA level of DFT.

## Properties
crystal system = orthorhombic
magnetization = 0.151 μB/f.u.
V = 21.9 A^3/atom
space-group type = No. 63
uncorrected energy = -8.006 eV/atom

Cell lengths 4.779, 6.711, 11.671 Å; angles 90.00, 90.00, 110.86 degrees
Fractional coordinates of all 16 atoms:
1 Hf 0.088 0.176 0.123
2 H 0.201 0.402 0.250
3 As 0.125 0.250 0.890
4 H 0.799 0.598 0.750
5 Hf 0.912 0.824 0.623
6 As 0.125 0.250 0.610
7 Hf 0.683 0.366 0.531
8 Hf 0.912 0.824 0.877
9 As 0.875 0.750 0.110
10 As 0.875 0.750 0.390
11 Hf 0.701 0.401 0.250
12 Hf 0.088 0.176 0.377
13 Hf 0.317 0.634 0.031
14 Hf 0.299 0.599 0.750
15 Hf 0.317 0.634 0.469
16 Hf 0.683 0.366 0.969



6.
Computed, not measured: an optimized crystal structure of CeThMg at the PBE-GGA level of DFT.

## Properties
crystal system = trigonal
magnetization = 0.252 μB/f.u.
V = 28.4 A^3/atom
space-group type = No. 156
energy above the lowest structure with this stoichiometry = 0.03 eV per formula unit

Cell lengths 3.390, 3.390, 17.133 Å; angles 90.00, 90.00, 120.00 degrees
Each line ends with the local moment (μB).
Fractional coordinates of all 6 atoms:
1 Th 0.667 0.333 0.042  0.01
2 Mg 0.333 0.667 0.703  0.00
3 Mg 0.000 0.000 0.553  0.00
4 Th 0.667 0.333 0.385  0.00
5 Ce 0.000 0.000 0.870  -0.48
6 Ce 0.000 0.000 0.212  0.04



7.
Computed, not measured: an optimized crystal structure of TbDyHo2 at the PBE-GGA level of DFT.

## Properties
crystal system = tetragonal
magnetization = 0.000 μB/f.u.
V = 31.1 A^3/atom
space-group type = No. 123
energy above the lowest structure with this stoichiometry = 0.06 eV per formula unit

Cell lengths 4.991, 4.995, 4.995 Å; angles 90.00, 90.00, 90.00 degrees
Fractional coordinates of all 4 atoms:
1 Dy 0.500 0.000 0.000
2 Ho 0.000 0.500 0.000
3 Ho 0.000 0.000 0.500
4 Tb 0.500 0.500 0.500



8.
Computed, not measured: an optimized crystal structure of Sn4Te2Br3 at the PBE-GGA level of DFT.

## Properties
crystal system = monoclinic
magnetization = 0.000 μB/f.u.
V = 34.6 A^3/atom
space-group type = No. 12
formation energy (no corrections) = -0.40 eV per atom

Cell lengths 4.665, 4.665, 17.632 Å; angles 93.94, 86.06, 125.42 degrees
Fractional coordinates of all 9 atoms:
1 Br 0.328 0.672 0.598
2 Sn 0.331 0.669 0.891
3 Te 0.659 0.341 0.793
4 Sn 0.996 0.004 0.685
5 Sn 0.669 0.331 0.109
6 Br 0.000 0.000 0.000
7 Br 0.672 0.328 0.402
8 Sn 0.004 0.996 0.315
9 Te 0.341 0.659 0.207



9.
Computed, not measured: an optimized crystal structure of NpHgCl2 at the PBE-GGA level of DFT.

## Properties
crystal system = trigonal
magnetization = 5.001 μB/f.u.
V = 34.0 A^3/atom
space-group type = No. 166
formation energy (no corrections) = -1.03 eV per atom

Cell lengths 3.690, 3.690, 11.727 Å; angles 80.95, 80.95, 60.00 degrees
Each line ends with the local moment (μB).
Fractional coordinates of all 4 atoms:
1 Hg 0.000 0.000 0.000  0.00
2 Np 0.500 0.500 0.500  4.43
3 Cl 0.886 0.886 0.341  -0.03
4 Cl 0.114 0.114 0.659  -0.03



10.
Computed, not measured: an optimized crystal structure of K2TaRh at the PBE-GGA level of DFT.

## Properties
crystal system = cubic
magnetization = 1.609 μB/f.u.
V = 23.4 A^3/atom
space-group type = No. 216
energy above the lowest structure with this stoichiometry = 3.69 eV per formula unit

Cell lengths 5.096, 5.096, 5.096 Å; angles 120.02, 120.02, 89.97 degrees
Each line ends with the local moment (μB).
Fractional coordinates of all 4 atoms:
1 K 0.000 0.000 0.000  0.03
2 Rh 0.500 0.500 0.000  -0.17
3 K 0.250 0.750 0.500  0.03
4 Ta 0.750 0.250 0.500  1.06



11.
Computed, not measured: an optimized crystal structure of TiGa3Co4 at the PBE-GGA level of DFT.

## Properties
crystal system = tetragonal
magnetization = 1.456 μB/f.u.
V = 12.2 A^3/atom
space-group type = No. 139
uncorrected energy = -6.074 eV/atom

Cell lengths 4.079, 4.079, 6.534 Å; angles 108.19, 108.19, 90.00 degrees
Each line ends with the local moment (μB).
Fractional coordinates of all 8 atoms:
1 Ga 0.000 0.500 0.000  -0.01
2 Co 0.373 0.373 0.746  0.41
3 Ga 0.251 0.751 0.502  -0.02
4 Ga 0.749 0.249 0.498  -0.02
5 Co 0.873 0.873 0.746  0.41
6 Co 0.627 0.627 0.254  0.41
7 Co 0.127 0.127 0.254  0.41
8 Ti 0.500 0.000 0.000  -0.10



12.
Computed, not measured: an optimized crystal structure of CaUTl2Te4 at the PBE-GGA level of DFT.

## Properties
crystal system = monoclinic
magnetization = 1.999 μB/f.u.
V = 35.8 A^3/atom
space-group type = No. 10
formation energy (no corrections) = -0.78 eV per atom

Cell lengths 4.525, 7.782, 8.543 Å; angles 107.60, 90.00, 90.00 degrees
Each line ends with the local moment (μB).
Fractional coordinates of all 8 atoms:
1 Te 0.000 0.752 0.215  -0.05
2 Tl 0.000 0.500 0.500  -0.01
3 Te 0.500 0.227 0.214  -0.06
4 U 0.000 0.000 0.000  2.23
5 Tl 0.500 0.000 0.500  -0.01
6 Ca 0.500 0.500 0.000  0.00
7 Te 0.500 0.773 0.786  -0.06
8 Te 0.000 0.248 0.785  -0.05